# PBE+U CsCrMoF6, optimized geometry
data_CsCrMoF6
_cell_length_a 5.772
_cell_length_b 5.772
_cell_length_c 12.721
_cell_angle_alpha 90.00
_cell_angle_beta 90.00
_cell_angle_gamma 120.00
_symmetry_space_group_name_H-M 'P 1'
_symmetry_Int_Tables_number 1
_symmetry_space_group_name_Hall 'P 1'
loop_
_atom_site_label
_atom_site_fract_x
_atom_site_fract_y
_atom_site_fract_z
Cs1 0.000 0.000 0.000
Cs2 0.000 0.000 0.500
Cr1 0.333 0.667 0.250
Cr2 0.667 0.333 0.750
Mo1 0.667 0.333 0.250
Mo2 0.333 0.667 0.750
F1 0.628 0.623 0.162
F2 0.995 0.372 0.162
F3 0.372 0.995 0.662
F4 0.005 0.628 0.838
F5 0.377 0.372 0.338
F6 0.995 0.623 0.338
F7 0.623 0.995 0.838
F8 0.628 0.005 0.338
F9 0.005 0.377 0.662
F10 0.377 0.005 0.162
F11 0.623 0.628 0.662
F12 0.372 0.377 0.838
# - SG = P-31c, No. 163
# - E_tot (eV/atom) = -5.54